Entry A
Compound: BaNbTe2I
Source: the Alexandria database
Functional: PBE
Structure: relaxed

The space group is P4/mmm (No. 123) and the conventional cell measures 6.5113, 6.5113 and 6.3832 Å, with angles of 90.00, 90.00 and 90.00 degrees. Symmetry generates all atoms from Ba at (0.0000, 0.0000, 0.0000), Nb at (0.5000, 0.5000, 0.5000), Te at (0.0000, 0.5000, 0.0000) and I at (0.0000, 0.0000, 0.5000).

As for the volume: 54.13 A^3/atom.

***

Entry B
Compound: BaNbTe2I
Source: the Alexandria database
Functional: PBE
Structure: relaxed

The space group is P4/mmm (No. 123) and the conventional cell measures 5.5442, 5.5442 and 5.8018 Å, with angles of 90.00, 90.00 and 90.00 degrees. Symmetry generates all atoms from Ba at (0.0000, 0.0000, 0.0000), Nb at (0.5000, 0.5000, 0.5000), Te at (0.0000, 0.5000, 0.5000) and I at (0.5000, 0.5000, 0.0000).

As for the volume: 35.67 A^3/atom.

***

Stability summary - winner: entry B; margin: 1.438 eV/atom.

***

Entry A
Compound: BaNbTeI2
Source: the Alexandria database
Functional: PBE
Structure: relaxed

The space group is P4/mmm (No. 123) and the conventional cell measures 5.7575, 5.7575 and 5.6573 Å, with angles of 90.00, 90.00 and 90.00 degrees. Symmetry generates all atoms from Ba at (0.0000, 0.0000, 0.0000), Nb at (0.5000, 0.5000, 0.5000), Te at (0.5000, 0.5000, 0.0000) and I at (0.0000, 0.5000, 0.5000).

As for the volume: 37.51 A^3/atom.

***

Entry B
Compound: BaNbTeI2
Source: the Alexandria database
Functional: PBE
Structure: relaxed

The space group is P4/mmm (No. 123) and the conventional cell measures 6.4805, 6.4805 and 6.7655 Å, with angles of 90.00, 90.00 and 90.00 degrees. Symmetry generates all atoms from Ba at (0.0000, 0.0000, 0.0000), Nb at (0.5000, 0.5000, 0.5000), Te at (0.0000, 0.0000, 0.5000) and I at (0.0000, 0.5000, 0.0000).

As for the volume: 56.83 A^3/atom.

***

Stability summary - winner: entry A; margin: 1.058 eV/atom.